Entry 1:
A plane-wave DFT calculation with PBE was carried out for crystalline Rb5Na2Cd at its relaxed geometry.

Summary:
As for the calculated density: 1894 kg/m³. The volume comes out at 513.4 Å³/f.u. As for the energy relative to the elements: 13 meV/atom. The calculated total energy is -16.570 eV/cell. Its space-group type is Cmcm, No. 63.

Cell lengths 4.9493, 7.9285, 27.5434 Å; angles 90.00, 90.00, 108.19 degrees
Fractional positions:
1 Rb 0.9003 0.8006 0.8808
2 Rb 0.9003 0.8006 0.6192
3 Rb 0.3654 0.7308 0.4534
4 Rb 0.3654 0.7308 0.0466
5 Rb 0.5008 0.0016 0.2500
6 Rb 0.4992 0.9984 0.7500
7 Rb 0.6346 0.2692 0.5466
8 Rb 0.6346 0.2692 0.9534
9 Rb 0.0997 0.1994 0.1192
10 Rb 0.0997 0.1994 0.3808
11 Na 0.7980 0.5961 0.3172
12 Na 0.7980 0.5961 0.1828
13 Na 0.2020 0.4039 0.6828
14 Na 0.2020 0.4039 0.8172
15 Cd 0.7854 0.5707 0.7500
16 Cd 0.2146 0.4293 0.2500



Entry 2:
A plane-wave DFT calculation with PBE was carried out for crystalline Rb12Na3Cd5 at its relaxed geometry.

Summary:
As for the calculated density: 1854 kg/m³. The volume comes out at 1484.0 Å³/f.u. As for the energy relative to the elements: 153 meV/atom. The calculated total energy is -68.351 eV/cell. Its space-group type is Ia-3d, No. 230.

Cell lengths 19.7564, 19.7564, 19.7564 Å; angles 109.47, 109.47, 109.47 degrees
Fractional positions:
1 Na 0.7500 0.3750 0.1250
2 Na 0.8750 0.7500 0.1250
3 Na 0.3750 0.7500 0.6250
4 Na 0.2500 0.1250 0.3750
5 Na 0.8750 0.1250 0.2500
6 Na 0.3750 0.6250 0.2500
7 Na 0.6250 0.3750 0.7500
8 Na 0.1250 0.8750 0.7500
9 Na 0.7500 0.8750 0.6250
10 Na 0.6250 0.2500 0.3750
11 Na 0.1250 0.2500 0.8750
12 Na 0.2500 0.6250 0.8750
13 Cd 0.1250 0.3750 0.2500
14 Cd 0.0000 0.5000 0.0000
15 Cd 0.0000 0.0000 0.0000
16 Cd 0.3750 0.2500 0.1250
17 Cd 0.5000 0.0000 0.5000
18 Cd 0.5000 0.5000 0.0000
19 Cd 0.1250 0.7500 0.3750
20 Cd 0.7500 0.1250 0.8750
21 Cd 0.7500 0.6250 0.3750
22 Cd 0.3750 0.1250 0.7500
23 Cd 0.6250 0.8750 0.2500
24 Cd 0.5000 0.5000 0.5000
25 Cd 0.5000 0.0000 0.0000
26 Cd 0.0000 0.0000 0.5000
27 Cd 0.2500 0.3750 0.6250
28 Cd 0.2500 0.8750 0.1250
29 Cd 0.0000 0.5000 0.5000
30 Cd 0.8750 0.2500 0.6250
31 Cd 0.6250 0.7500 0.8750
32 Cd 0.8750 0.6250 0.7500
33 Rb 0.7167 0.1185 0.0434
34 Rb 0.3267 0.5434 0.4249
35 Rb 0.9566 0.3815 0.2833
36 Rb 0.5434 0.2167 0.1185
37 Rb 0.5982 0.7167 0.6733
38 Rb 0.9566 0.5751 0.1733
39 Rb 0.3267 0.7833 0.4018
40 Rb 0.0751 0.9018 0.1185
41 Rb 0.5751 0.9566 0.6733
42 Rb 0.7167 0.5982 0.1733
43 Rb 0.7833 0.4566 0.3815
44 Rb 0.8267 0.9249 0.0434
45 Rb 0.1185 0.7167 0.5434
46 Rb 0.3815 0.4249 0.0982
47 Rb 0.0982 0.9249 0.3815
48 Rb 0.4018 0.1185 0.5751
49 Rb 0.0982 0.1733 0.2167
50 Rb 0.4566 0.6733 0.0751
51 Rb 0.8267 0.9018 0.2833
52 Rb 0.1185 0.4018 0.0751
53 Rb 0.3815 0.9566 0.7833
54 Rb 0.5751 0.6185 0.4018
55 Rb 0.9249 0.8267 0.5434
56 Rb 0.7833 0.3267 0.9018
57 Rb 0.4249 0.3815 0.5982
58 Rb 0.0751 0.1733 0.4566
59 Rb 0.2167 0.6733 0.0982
60 Rb 0.1733 0.0982 0.7167
61 Rb 0.6185 0.0434 0.2167
62 Rb 0.8815 0.5982 0.9249
63 Rb 0.5434 0.3267 0.9249
64 Rb 0.5982 0.8815 0.4249
65 Rb 0.9018 0.8267 0.7833
66 Rb 0.9018 0.0751 0.6185
67 Rb 0.8815 0.2833 0.4566
68 Rb 0.1733 0.0751 0.9566
69 Rb 0.6185 0.5751 0.9018
70 Rb 0.4249 0.0434 0.3267
71 Rb 0.2833 0.4018 0.8267
72 Rb 0.2167 0.5434 0.6185
73 Rb 0.9249 0.0982 0.8815
74 Rb 0.6733 0.2167 0.5982
75 Rb 0.4566 0.7833 0.8815
76 Rb 0.0434 0.4249 0.8267
77 Rb 0.4018 0.2833 0.3267
78 Rb 0.0434 0.6185 0.7167
79 Rb 0.6733 0.4566 0.5751
80 Rb 0.2833 0.8815 0.9566



Entry 3:
A plane-wave DFT calculation with PBE was carried out for crystalline Rb2NaCd16 at its relaxed geometry.

Summary:
As for the calculated density: 6648 kg/m³. The volume comes out at 497.7 Å³/f.u. As for the energy relative to the elements: -53 meV/atom. The calculated total energy is -18.894 eV/cell. Its space-group type is R3m, No. 160.

Cell lengths 7.9759, 7.9759, 7.9759 Å; angles 83.29, 83.29, 83.29 degrees
Fractional positions:
1 Rb 0.6576 0.6576 0.6576
2 Rb 0.3446 0.3446 0.3446
3 Na 0.9045 0.9045 0.9045
4 Cd 0.7050 0.9980 0.2926
5 Cd 0.9980 0.2926 0.7050
6 Cd 0.2926 0.7050 0.9980
7 Cd 0.9980 0.7050 0.2926
8 Cd 0.7050 0.2926 0.9980
9 Cd 0.2926 0.9980 0.7050
10 Cd 0.3520 0.8438 0.3520
11 Cd 0.8438 0.3520 0.3520
12 Cd 0.3520 0.3520 0.8438
13 Cd 0.6471 0.1522 0.6471
14 Cd 0.1522 0.6471 0.6471
15 Cd 0.6471 0.6471 0.1522
16 Cd 0.0015 0.4943 0.0015
17 Cd 0.4943 0.0015 0.0015
18 Cd 0.0015 0.0015 0.4943
19 Cd 0.1106 0.1106 0.1106



Entry 4:
A plane-wave DFT calculation with PBE was carried out for crystalline RbNa4Cd4 at its relaxed geometry.

Summary:
As for the calculated density: 3561 kg/m³. The volume comes out at 292.4 Å³/f.u. As for the energy relative to the elements: -33 meV/atom. The calculated total energy is -20.395 eV/cell. The offset from the most stable computed form is 12 meV/atom. Its space-group type is I4/mmm, No. 139.

Cell lengths 4.4493, 11.4651, 11.4651 Å; angles 90.00, 90.00, 90.00 degrees
Fractional positions:
1 Rb 0.0000 0.0000 0.0000
2 Rb 0.5000 0.5000 0.5000
3 Na 0.4999 0.5000 0.8182
4 Na 0.9999 0.6818 0.0000
5 Na 0.4999 0.5000 0.1818
6 Na 0.0001 0.0000 0.6818
7 Na 0.5001 0.8182 0.5000
8 Na 0.0001 0.0000 0.3182
9 Na 0.9999 0.3182 0.0000
10 Na 0.5001 0.1818 0.5000
11 Cd 0.5000 0.8077 0.1922
12 Cd 0.5000 0.1923 0.8078
13 Cd 0.0000 0.6922 0.6923
14 Cd 0.0000 0.3077 0.6922
15 Cd 0.0000 0.6923 0.3078
16 Cd 0.5000 0.1922 0.1923
17 Cd 0.5000 0.8078 0.8077
18 Cd 0.0000 0.3078 0.3077



Entry 5:
A plane-wave DFT calculation with PBE was carried out for crystalline RbNa2Cd at its relaxed geometry.

Summary:
As for the calculated density: 2288 kg/m³. The volume comes out at 177.0 Å³/f.u. As for the energy relative to the elements: 129 meV/atom. The calculated total energy is -4.007 eV/cell. Its space-group type is R-3m, No. 166.

Cell lengths 4.0200, 4.0200, 12.8557 Å; angles 81.00, 81.00, 60.00 degrees
Fractional positions:
1 Na 0.1046 0.1046 0.6863
2 Na 0.8954 0.8954 0.3137
3 Rb 0.0000 0.0000 0.0000
4 Cd 0.5000 0.5000 0.5000



Entry 6:
A plane-wave DFT calculation with PBE was carried out for crystalline RbNa4Cd2 at its relaxed geometry.

Summary:
As for the calculated density: 2837 kg/m³. The volume comes out at 235.4 Å³/f.u. As for the energy relative to the elements: -12 meV/atom. The calculated total energy is -8.157 eV/cell. Its space-group type is C2/m, No. 12.

Cell lengths 6.4626, 6.9064, 6.9064 Å; angles 74.26, 60.98, 60.98 degrees
Fractional positions:
1 Rb 0.0000 0.0000 0.0000
2 Na 0.6968 0.5985 0.0075
3 Na 0.3032 0.4015 0.9925
4 Na 0.6968 0.0075 0.5985
5 Na 0.3032 0.9925 0.4015
6 Cd 0.7563 0.5005 0.5005
7 Cd 0.2437 0.4995 0.4995